First-principles (PBE+U) data for a relaxed YHgMo2O8 crystal, as listed in Alexandria via LeMat-Bulk.

Unit cell a=6.1188 b=6.1188 c=7.1040 alpha=90.00 beta=90.00 gamma=120.00
Closest atoms and distances in Å follow each position.
Element x y z (fractional)
Y1 0.0000 0.0000 0.0000  6 O 2.27
Hg1 0.0000 0.0000 0.5000  6 O 2.84
Mo1 0.3333 0.6667 0.7251  4 O 1.74-1.82
Mo2 0.6667 0.3333 0.2749  4 O 1.74-1.82
O1 0.1706 0.3413 0.8075  1 Mo 1.82
O2 0.1706 0.8294 0.8075  1 Mo 1.82
O3 0.6587 0.8294 0.8075  1 Mo 1.82
O4 0.3413 0.1706 0.1925  1 Mo 1.82
O5 0.6667 0.3333 0.5195  1 Mo 1.74
O6 0.3333 0.6667 0.4805  1 Mo 1.74
O7 0.8294 0.6587 0.1925  1 Mo 1.82
O8 0.8294 0.1706 0.1925  1 Mo 1.82

**E**: -6.8526 eV per atom
**Space-group type**: P-3m1, No. 164